Below is an optimized crystal structure of NdNi12, with properties calculated at the PBE level.

a = 8.2667 Å, b = 8.2667 Å, c = 4.7170 Å
α = 90.00°, β = 90.00°, γ = 90.00°
Last column: nearest neighbours and their distance in Å.
Space group I4/mmm (No. 139)
Symmetry-distinct sites (fractional):
Nd  0.0000  0.0000  0.0000 (multiplicity 2)  20 Ni 2.94-3.15
Ni  0.0000  0.2292  0.5000 (multiplicity 8)  8 Ni 2.39-2.58
Ni  0.0000  0.3557  0.0000 (multiplicity 8)  9 Ni 2.39-2.58
Ni  0.2500  0.2500  0.2500 (multiplicity 8)  10 Ni 2.36-2.53

Properties
The calculated total energy is -5.790 eV/atom. Its total magnetization is 0.434 μB per atom. The crystal system is tetragonal.

Below is an optimized crystal structure of Ce2DyCd, with properties calculated at the PBE level.

a = 3.3064 Å, b = 3.3064 Å, c = 10.2768 Å
α = 90.00°, β = 90.00°, γ = 90.00°
Last column: nearest neighbours and their distance in Å.
Space group P4/mmm (No. 123)
Symmetry-distinct sites (fractional):
Ce  0.0000  0.0000  0.2366 (multiplicity 2)  4 Ce 3.31, 4 Cd 3.37, 4 Dy 3.58
Dy  0.5000  0.5000  0.5000 (multiplicity 1)  4 Dy 3.31, 8 Ce 3.58
Cd  0.5000  0.5000  0.0000 (multiplicity 1)  4 Cd 3.31, 8 Ce 3.37

Properties
The calculated total energy is -4.342 eV/atom. Its total magnetization is 0.418 μB per atom. The crystal system is tetragonal.

Energy of formation (computed, eV/atom): -0.09, 0.00